## TlHgO2 (GGA-PBE)

Data for crystalline TlHgO2 at its relaxed geometry.

a b c (Å): 3.3455 6.8255 6.1184
angles (deg): 90.00 90.00 104.19
Sites, in units of the cell vectors:
Tl: 0.9267 0.8534 0.2500
Tl: 0.0733 0.1466 0.7500
Hg: 0.1961 0.3922 0.2500
Hg: 0.8039 0.6078 0.7500
O: 0.3544 0.7089 0.4918
O: 0.6456 0.2911 0.5082
O: 0.6456 0.2911 0.9918
O: 0.3544 0.7089 0.0082

Summary:
Energy above the most stable polymorph in this dataset = 0.237 eV/atom
Volume = 135.4 Å³ per cell
Raw total energy = -26.63 eV per cell
Uncorrected formation energy = -183 meV/atom

---

## Ag3Bi (GGA-PBE)

Data for crystalline Ag3Bi at its relaxed geometry.

a b c (Å): 3.2822 3.2822 9.4160
angles (deg): 90.00 90.00 120.00
Sites, in units of the cell vectors:
Bi: 0.6667 0.3333 0.0000
Ag: 0.6667 0.3333 0.5000
Ag: 0.3333 0.6667 0.2701
Ag: 0.3333 0.6667 0.7299

Summary:
DFT formation energy = 15.53 kJ/mol of atoms
Volume = 87.8 Å³ per cell
Raw total energy = -11.79 eV per cell

---

## AcLa5PmY2 (GGA-PBE)

Data for crystalline AcLa5PmY2 at its relaxed geometry.

a b c (Å): 10.3123 8.1334 8.1334
angles (deg): 90.00 90.00 90.00
Sites, in units of the cell vectors:
Ac: 0.0000 0.5000 0.5000
Ac: 0.0000 0.0000 0.0000
La: 0.5000 0.5000 0.5000
La: 0.5000 0.0000 0.0000
La: 0.2449 0.1973 0.6973
La: 0.2449 0.8027 0.3027
La: 0.2449 0.3027 0.1973
La: 0.2449 0.6973 0.8027
La: 0.7551 0.1973 0.6973
La: 0.7551 0.6973 0.8027
La: 0.7551 0.8027 0.3027
La: 0.7551 0.3027 0.1973
Pm: 0.0000 0.0000 0.5000
Pm: 0.0000 0.5000 0.0000
Y: 0.5000 0.6300 0.1300
Y: 0.5000 0.1300 0.3700
Y: 0.5000 0.8700 0.6300
Y: 0.5000 0.3700 0.8700

Summary:
DFT formation energy = 24.83 kJ/mol of atoms
Volume = 682.2 Å³ per cell
Raw total energy = -88.22 eV per cell

---

## AcThAgPb (GGA-PBE)

Data for crystalline AcThAgPb at its relaxed geometry.

a b c (Å): 5.5852 5.5852 5.5852
angles (deg): 60.00 60.00 60.00
Sites, in units of the cell vectors:
Pb: 0.7500 0.7500 0.7500
Ac: 0.5000 0.5000 0.5000
Ag: 0.2500 0.2500 0.2500
Th: 0.0000 0.0000 0.0000

Summary:
DFT formation energy = -17.78 kJ/mol of atoms
Volume = 123.2 Å³ per cell
Raw total energy = -18.82 eV per cell

---

## PmHo6Ga3 (GGA-PBE)

Data for crystalline PmHo6Ga3 at its relaxed geometry.

a b c (Å): 8.2530 8.2888 8.2888
angles (deg): 100.01 90.00 90.00
Sites, in units of the cell vectors:
Pm: 0.0302 0.3304 0.6696
Pm: 0.5302 0.6696 0.3304
Ho: 0.1668 0.7334 0.5996
Ho: 0.6668 0.5996 0.7334
Ho: 0.3081 0.5897 0.9438
Ho: 0.8081 0.9438 0.5897
Ho: 0.1882 0.0343 0.9657
Ho: 0.5144 0.2233 0.7767
Ho: 0.0144 0.7767 0.2233
Ho: 0.6882 0.9657 0.0343
Ho: 0.3081 0.0562 0.4103
Ho: 0.8081 0.4103 0.0562
Ho: 0.1668 0.4004 0.2666
Ho: 0.6668 0.2666 0.4004
Ga: 0.4688 0.8795 0.7186
Ga: 0.9688 0.7186 0.8795
Ga: 0.3652 0.4292 0.5708
Ga: 0.8652 0.5708 0.4292
Ga: 0.9688 0.1205 0.2814
Ga: 0.4688 0.2814 0.1205

Summary:
DFT formation energy = -29.72 kJ/mol of atoms
Volume = 558.4 Å³ per cell
Raw total energy = -88.76 eV per cell

---

## Ca3In2Ag4 (GGA-PBE)

Data for crystalline Ca3In2Ag4 at its relaxed geometry.

a b c (Å): 4.8722 6.1246 9.1189
angles (deg): 113.45 90.00 113.44
Sites, in units of the cell vectors:
Ca: 0.6480 0.2960 0.6876
Ca: 0.0000 0.0000 0.0000
Ca: 0.3520 0.7040 0.3124
In: 0.6459 0.2918 0.3145
In: 0.3541 0.7082 0.6855
Ag: 0.7283 0.4565 0.0646
Ag: 0.2717 0.5435 0.9354
Ag: 0.9223 0.8447 0.5896
Ag: 0.0777 0.1553 0.4104

Summary:
DFT formation energy = -31.25 kJ/mol of atoms
Volume = 225.0 Å³ per cell
Raw total energy = -25.80 eV per cell

---

## Y2TmCu2 (GGA-PBE)

Data for crystalline Y2TmCu2 at its relaxed geometry.

a b c (Å): 3.7836 7.8408 7.8408
angles (deg): 90.00 90.00 90.00
Sites, in units of the cell vectors:
Y: 0.5000 0.1648 0.6648
Y: 0.5000 0.6648 0.8352
Y: 0.5000 0.8352 0.3352
Y: 0.5000 0.3352 0.1648
Tm: 0.0000 0.0000 0.0000
Tm: 0.0000 0.5000 0.5000
Cu: 0.0000 0.3768 0.8768
Cu: 0.0000 0.8768 0.6232
Cu: 0.0000 0.6232 0.1232
Cu: 0.0000 0.1232 0.3768

Summary:
DFT formation energy = -15.84 kJ/mol of atoms
Volume = 232.6 Å³ per cell
Raw total energy = -52.83 eV per cell

---

## LiSc2TlN (GGA-PBE)

Data for crystalline LiSc2TlN at its relaxed geometry.

a b c (Å): 4.4063 4.4063 4.3920
angles (deg): 90.00 90.00 90.00
Sites, in units of the cell vectors:
Sc: 0.0000 0.5000 0.0000
Sc: 0.5000 0.0000 0.0000
Tl: 0.5000 0.5000 0.5000
Li: 0.0000 0.0000 0.5000
N: 0.0000 0.0000 0.0000

Summary:
Volume = 85.3 Å³ per cell
Raw total energy = -29.39 eV per cell
Uncorrected formation energy = -823 meV/atom

---

## SrTl2In (GGA-PBE)

Data for crystalline SrTl2In at its relaxed geometry.

a b c (Å): 5.7400 5.7400 6.1076
angles (deg): 78.33 78.33 39.79
Sites, in units of the cell vectors:
Sr: 0.2500 0.2500 0.2500
Tl: 0.0076 0.0076 0.9769
Tl: 0.4924 0.4924 0.5231
In: 0.7500 0.7500 0.7500

Summary:
DFT formation energy = -21.77 kJ/mol of atoms
Volume = 125.8 Å³ per cell
Raw total energy = -10.06 eV per cell

---

## CuIrPt2 (GGA-PBE)

Data for crystalline CuIrPt2 at its relaxed geometry.

a b c (Å): 3.8908 2.7494 6.1057
angles (deg): 63.34 90.00 90.00
Sites, in units of the cell vectors:
Cu: 0.5000 0.2500 0.2500
Ir: 0.5000 0.7500 0.7500
Pt: 0.0000 0.9989 0.0016
Pt: 0.0000 0.5011 0.4984

Summary:
Energy above the most stable polymorph in this dataset = 0.051 eV/atom
DFT formation energy = -0.13 kJ/mol of atoms
Volume = 58.4 Å³ per cell
Raw total energy = -25.04 eV per cell

---

## K2Sr4W (GGA-PBE)

Data for crystalline K2Sr4W at its relaxed geometry.

a b c (Å): 6.1052 6.1052 11.0796
angles (deg): 74.01 74.01 90.00
Sites, in units of the cell vectors:
Sr: 0.8518 0.8518 0.2963
Sr: 0.1482 0.1482 0.7037
Sr: 0.0000 0.5000 0.0000
Sr: 0.5000 0.0000 0.0000
K: 0.6431 0.6431 0.7137
K: 0.3569 0.3569 0.2863
W: 0.0000 0.0000 0.0000

Summary:
DFT formation energy = 66.03 kJ/mol of atoms
Volume = 380.3 Å³ per cell
Raw total energy = -17.08 eV per cell

---

## Tc5Te (GGA-PBE)

Data for crystalline Tc5Te at its relaxed geometry.

a b c (Å): 4.8724 4.8724 4.5059
angles (deg): 90.00 90.00 120.00
Sites, in units of the cell vectors:
Tc: 0.6542 0.0000 0.0000
Tc: 0.3458 0.3458 0.0000
Tc: 0.0000 0.6542 0.0000
Tc: 0.6667 0.3333 0.5000
Tc: 0.3333 0.6667 0.5000
Te: 0.0000 0.0000 0.5000

Summary:
Energy above the most stable polymorph in this dataset = 0.031 eV/atom
Volume = 92.6 Å³ per cell
Raw total energy = -53.52 eV per cell
Uncorrected formation energy = 242 meV/atom